# 1
DFT (GGA-PBE) results for an optimized crystal structure of KTiInPb2.

Cell: 5.466 5.466 5.514 Å, 90.00 90.00 90.00°
Space group P4/mmm (No. 123)
Unique sites:
K 0.000 0.000 0.000
Ti 0.500 0.500 0.500
In 0.500 0.500 0.000
Pb 0.000 0.500 0.500

Results
total magnetic moment: 0.00 Bohr magnetons per cell
energy of formation from the pure elements: 0.010 eV per atom
D(E_F): 0.72 states/eV/atom

---

# 2
DFT (GGA-PBE) results for an optimized crystal structure of KTlInPb.

Cell: 5.669 5.679 8.195 Å, 90.00 90.00 90.00°
Space group Cmm2 (No. 35)
Unique sites:
K 0.000 0.000 0.000
Tl 0.000 0.500 0.289
In 0.000 0.000 0.495
Pb 0.000 0.500 0.698

Results
total magnetic moment: 0.00 Bohr magnetons per cell
energy of formation from the pure elements: -0.085 eV per atom
D(E_F): 0.74 states/eV/atom

---

# 3
DFT (GGA-PBE) results for an optimized crystal structure of K2Tl3In4Pb.

Cell: 5.068 5.068 13.082 Å, 90.00 90.00 90.00°
Space group P-4m2 (No. 115)
Unique sites:
K 0.000 0.500 0.249
Tl 0.000 0.500 0.863
Tl 0.500 0.500 0.500
In 0.000 0.000 0.000
In 0.000 0.500 0.639
In 0.500 0.500 0.000
Pb 0.000 0.000 0.500

Results
total magnetic moment: 0.00 Bohr magnetons per cell
energy of formation from the pure elements: -0.084 eV per atom
D(E_F): 0.36 states/eV/atom